Here is an optimized crystal structure of Li3CoPt2O6 from Alexandria via LeMat-Bulk. Energies are from PBE+U.

Values from the calculation:
Volume, Å³ per cell: 245.6
Raw total energy, eV per atom: -5.47
Total magnetization, μB/cell: 4.38
Mass density, Mg/m³: 7.7

```
data_Li3CoPt2O6
_space_group_name_H-M_alt 'C 1 2/m 1'
_space_group_IT_number 12
_space_group_name_Hall '-C 2y'
_cell_length_a 5.545
_cell_length_b 9.246
_cell_length_c 5.179
_cell_angle_alpha 90.00
_cell_angle_beta 112.34
_cell_angle_gamma 90.00
loop_
_atom_site_label
_atom_site_type_symbol
_atom_site_fract_x
_atom_site_fract_y
_atom_site_fract_z
Li1 Li 0.000 0.000 0.000
Li2 Li 0.000 0.327 0.000
Co1 Co 0.000 0.500 0.500
Pt1 Pt 0.000 0.166 0.500
O1 O 0.240 0.000 0.732
O2 O 0.246 0.329 0.728
```